DFT (PBE) results for a relaxed structure of TiCdP2O8.

Summary:
The formation energy (no corrections) comes out at -27.4 eV per formula unit. Its space group is No. 12. Its total magnetization is 0.000 μB per atom. For the mass density, the calculation gives 3.8 g/cm3.

a b c (Å): 4.8858 4.8858 7.0432
angles (deg): 92.54 92.54 65.75
Last column: nearest neighbours and their distance in Å.
Fractional positions:
Ti  0.0000  0.0000  0.0000  6 O 1.90-2.01
Cd  0.0000  0.0000  0.5000  2 O 2.16
P  0.3427  0.3427  0.7729  4 O 1.52-1.57
P  0.6573  0.6573  0.2271  4 O 1.52-1.57
O  0.2144  0.6935  0.7977  1 P 1.57
O  0.2214  0.2214  0.9340  1 P 1.55
O  0.2591  0.2591  0.5756  1 P 1.52
O  0.3065  0.7856  0.2023  1 P 1.57
O  0.6935  0.2144  0.7977  1 P 1.57
O  0.7409  0.7409  0.4244  1 P 1.52
O  0.7786  0.7786  0.0660  1 P 1.55
O  0.7856  0.3065  0.2023  1 P 1.57